# Ga2NiMoIr | Alexandria via LeMat-Bulk | PBEsol | relaxed
data_Ga2NiMoIr
_chemical_formula_sum 'Ga2 Ni1 Mo1 Ir1'
_cell_length_a 4.604
_cell_length_b 4.604
_cell_length_c 4.784
_cell_angle_alpha 90.00
_cell_angle_beta 90.00
_cell_angle_gamma 90.00
_symmetry_space_group_name_H-M 'P 4/m m m'
_symmetry_Int_Tables_number 123
_symmetry_space_group_name_Hall '-P 4 2'
loop_
_atom_site_label
_atom_site_type_symbol
_atom_site_fract_x
_atom_site_fract_y
_atom_site_fract_z
Ga1 Ga 0.000 0.500 0.000
Ni1 Ni 0.000 0.000 0.500
Mo1 Mo 0.500 0.500 0.500
Ir1 Ir 0.500 0.500 0.000
# Formation energy from the elements   1.04 eV per atom
# E_tot   -29.2 eV per cell
# Total magnetization   1.73 μB/f.u.